14
Lattice="-0.521 5.918 0.173 -2.370 -3.061 -4.509 -2.396 -0.369 5.426" Properties=species:S:1:pos:R:3 comment="Zn2GaO4 (GGA-PBE, relaxed)" dft_energy_ev_per_cell=-69.552 space_group=Fd-3m pbc="T T T"
O -3.913 -1.831 1.402
O -2.765 -0.347 3.587
O -2.775 -1.651 -1.338
O -4.165 1.036 1.486
O -1.605 -0.169 0.958
O -1.805 2.794 1.071
O -3.027 1.216 -1.254
O -2.966 2.616 3.700
Zn -2.272 -0.123 -2.639
Zn -2.545 4.182 2.415
Zn -3.470 -0.307 0.074
Zn -2.285 1.223 2.329
Ga -2.174 2.816 -0.769
Ga 0.000 0.000 0.000